Material: CdReS3
Method: DFT, PBE
State: relaxed

a b c (Å): 4.6736 4.6736 4.6736
angles (deg): 90.00 90.00 90.00
Closest atoms and distances in Å follow each position.
Element x y z (fractional)
Re (0.0000, 0.0000, 0.0000)  6 S 2.34
S (0.0000, 0.5000, 0.0000)  2 Re 2.34
S (0.0000, 0.0000, 0.5000)  2 Re 2.34
S (0.5000, 0.0000, 0.0000)  2 Re 2.34
Cd (0.5000, 0.5000, 0.5000)  12 S 3.30

ΔE to the lowest computed polymorph, meV/atom: 0
ΔE_f (raw), eV/atom: 0.214
Size of the total moment, Bohr magnetons per cell: 0.00


Material: Dy6Tc2Sn
Method: DFT, PBE
State: relaxed

a b c (Å): 8.5261 8.5261 8.5261
angles (deg): 104.08 111.85 112.61
Closest atoms and distances in Å follow each position.
Element x y z (fractional)
Dy (0.5331, 0.7196, 0.8135)  3 Tc 2.97-2.99, 1 Sn 3.20
Dy (0.4669, 0.2804, 0.1865)  3 Tc 2.97-2.99, 1 Sn 3.20
Dy (0.0938, 0.2804, 0.8135)  3 Tc 2.97-2.99, 1 Sn 3.20
Dy (0.9062, 0.7196, 0.1865)  3 Tc 2.97-2.99, 1 Sn 3.20
Dy (0.7927, 0.7558, 0.5486)  1 Tc 2.80
Dy (0.2073, 0.2442, 0.4514)  1 Tc 2.80
Dy (0.2073, 0.7558, 0.9631)  1 Tc 2.80
Dy (0.7927, 0.2442, 0.0369)  1 Tc 2.80
Dy (0.6864, 0.3527, 0.6663)  3 Tc 2.90-2.99
Dy (0.3136, 0.6473, 0.3337)  3 Tc 2.90-2.99
Dy (0.3136, 0.9799, 0.6663)  3 Tc 2.90-2.99
Dy (0.6864, 0.0201, 0.3337)  3 Tc 2.90-2.99
Tc (0.5000, 0.3853, 0.8853)  1 Tc 2.41
Tc (0.5000, 0.6147, 0.1147)  1 Tc 2.41
Tc (0.6739, 0.0000, 0.6739)  8 Dy 2.80-2.99, 1 Sn 3.12
Tc (0.3261, 0.0000, 0.3261)  8 Dy 2.80-2.99, 1 Sn 3.12
Sn (0.0000, 0.5000, 0.5000)  12 Dy 3.33-3.65
Sn (0.0000, 0.0000, 0.0000)  2 Tc 3.12, 8 Dy 3.20-3.24

E_form, eV per atom: -0.264
Size of the total moment, Bohr magnetons per cell: 0.00